A relaxed Ba4CuPb crystal, computed with PBEsol.

Calculated values
* V: 39.565 A^3/atom
* final energy: -2.35 eV/atom
* space-group type: F-43m, No. 216

Unit cell a=6.9501 b=6.9501 c=6.9501 alpha=60.00 beta=60.00 gamma=60.00
Fractional positions:
1 Ba 0.1246 0.1246 0.1246
2 Ba 0.1246 0.1246 0.6261
3 Ba 0.1246 0.6261 0.1246
4 Ba 0.6261 0.1246 0.1246
5 Cu 0.5000 0.5000 0.5000
6 Pb 0.7500 0.7500 0.7500

A relaxed La3PdW crystal, computed with PBEsol.

Calculated values
* V: 31.944 A^3/atom
* final energy: -6.28 eV/atom
* space-group type: Pm-3m, No. 221

Unit cell a=5.4257 b=5.4257 c=5.4257 alpha=90.00 beta=90.00 gamma=90.00
Fractional positions:
1 La 0.0000 0.0000 0.5000
2 La 0.0000 0.5000 0.0000
3 La 0.5000 0.0000 0.0000
4 Pd 0.0000 0.0000 0.0000
5 W 0.5000 0.5000 0.5000

A relaxed V2GeO4F2 crystal, computed with PBEsol.

Calculated values
* V: 11.206 A^3/atom
* final energy: -7.71 eV/atom
* space-group type: Pnma, No. 62

Unit cell a=9.3667 b=8.6748 c=4.9651 alpha=90.00 beta=90.00 gamma=90.00
Fractional positions:
1 V 0.1296 0.0868 0.0928
2 V 0.1296 0.4132 0.0928
3 V 0.3704 0.5868 0.5928
4 V 0.3704 0.9132 0.5928
5 V 0.6296 0.0868 0.4072
6 V 0.6296 0.4132 0.4072
7 V 0.8704 0.5868 0.9072
8 V 0.8704 0.9132 0.9072
9 Ge 0.0609 0.7500 0.3986
10 Ge 0.4391 0.2500 0.8986
11 Ge 0.5609 0.7500 0.1014
12 Ge 0.9391 0.2500 0.6014
13 O 0.0075 0.5855 0.2152
14 O 0.0075 0.9145 0.2152
15 O 0.0213 0.2500 0.2809
16 O 0.2492 0.7500 0.4392
17 O 0.2508 0.2500 0.9392
18 O 0.4787 0.7500 0.7809
19 O 0.4925 0.0855 0.7152
20 O 0.4925 0.4145 0.7152
21 O 0.5075 0.5855 0.2848
22 O 0.5075 0.9145 0.2848
23 O 0.5213 0.2500 0.2191
24 O 0.7492 0.7500 0.0608
25 O 0.7508 0.2500 0.5608
26 O 0.9787 0.7500 0.7191
27 O 0.9925 0.0855 0.7848
28 O 0.9925 0.4145 0.7848
29 F 0.2471 0.5641 0.9057
30 F 0.2471 0.9359 0.9057
31 F 0.2529 0.0641 0.4057
32 F 0.2529 0.4359 0.4057
33 F 0.7471 0.5641 0.5943
34 F 0.7471 0.9359 0.5943
35 F 0.7529 0.0641 0.0943
36 F 0.7529 0.4359 0.0943

A relaxed TlFeNi2P crystal, computed with PBEsol.

Calculated values
* V: 17.865 A^3/atom
* final energy: -4.74 eV/atom
* space-group type: P4/mmm, No. 123

Unit cell a=4.3036 b=4.3036 c=4.8231 alpha=90.00 beta=90.00 gamma=90.00
Fractional positions:
1 Tl 0.0000 0.0000 0.0000
2 Fe 0.0000 0.0000 0.5000
3 Ni 0.0000 0.5000 0.5000
4 Ni 0.5000 0.0000 0.5000
5 P 0.5000 0.5000 0.0000

A relaxed Ba2ZrAs crystal, computed with PBEsol.

Calculated values
* V: 28.726 A^3/atom
* final energy: -4.57 eV/atom
* space-group type: Cmmm, No. 65

Unit cell a=5.9429 b=5.9429 c=3.5282 alpha=90.00 beta=90.00 gamma=112.77
Fractional positions:
1 Ba 0.0000 0.5000 0.0000
2 Ba 0.5000 0.0000 0.0000
3 Zr 0.0000 0.0000 0.5000
4 As 0.5000 0.5000 0.5000

A relaxed K2LaPt crystal, computed with PBEsol.

Calculated values
* V: 43.631 A^3/atom
* energy above the lowest structure with this stoichiometry: 0.00 kJ per mole of atoms
* final energy: -3.88 eV/atom
* space-group type: Cm, No. 8

Unit cell a=4.2437 b=4.2437 c=11.4342 alpha=100.02 beta=100.02 gamma=59.90
Fractional positions:
1 K 0.0000 0.0000 0.0000
2 K 0.2066 0.2066 0.6435
3 La 0.7758 0.7758 0.3314
4 Pt 0.4801 0.4801 0.4511

A relaxed Bi2Se3 crystal, computed with PBEsol.

Calculated values
* V: 28.164 A^3/atom
* final energy: -4.41 eV/atom
* space-group type: R-3m, No. 166

Unit cell a=9.8216 b=9.8216 c=9.8216 alpha=24.28 beta=24.28 gamma=24.28
Fractional positions:
1 Bi 0.0998 0.0998 0.0998
2 Bi 0.9002 0.9002 0.9002
3 Se 0.2886 0.2886 0.2886
4 Se 0.5000 0.5000 0.5000
5 Se 0.7114 0.7114 0.7114

A relaxed Ho2CN2O2 crystal, computed with PBEsol.

Calculated values
* V: 13.426 A^3/atom
* final energy: -9.00 eV/atom
* space-group type: P-3m1, No. 164

Unit cell a=3.6626 b=3.6626 c=8.0895 alpha=90.00 beta=90.00 gamma=120.00
Fractional positions:
1 Ho 0.3333 0.6667 0.1764
2 Ho 0.6667 0.3333 0.8236
3 C 0.0000 0.0000 0.5000
4 N 0.0000 0.0000 0.3474
5 N 0.0000 0.0000 0.6526
6 O 0.3333 0.6667 0.8978
7 O 0.6667 0.3333 0.1022

A relaxed Cr2RhPb crystal, computed with PBEsol.

Calculated values
* V: 15.972 A^3/atom
* final energy: -7.65 eV/atom
* space-group type: P4/mmm, No. 123

Unit cell a=4.0716 b=4.0716 c=3.8538 alpha=90.00 beta=90.00 gamma=90.00
Fractional positions:
1 Cr 0.0000 0.5000 0.0000
2 Cr 0.5000 0.0000 0.0000
3 Rh 0.0000 0.0000 0.5000
4 Pb 0.5000 0.5000 0.5000

A relaxed BaZn2Ni crystal, computed with PBEsol.

Calculated values
* V: 21.935 A^3/atom
* final energy: -3.04 eV/atom
* space-group type: R3m, No. 160

Unit cell a=6.0934 b=6.0934 c=6.0934 alpha=40.95 beta=40.95 gamma=40.95
Fractional positions:
1 Ba 0.0000 0.0000 0.0000
2 Zn 0.1870 0.1870 0.1870
3 Zn 0.4887 0.4887 0.4887
4 Ni 0.8168 0.8168 0.8168

A relaxed Cu3Pt crystal, computed with PBEsol.

Calculated values
* V: 12.395 A^3/atom
* final energy: -5.08 eV/atom
* space-group type: Imm2, No. 44

Unit cell a=4.9292 b=4.9292 c=4.9292 alpha=148.17 beta=62.66 gamma=127.57
Fractional positions:
1 Cu 0.0000 0.0000 0.0000
2 Cu 0.3836 0.6378 0.7458
3 Cu 0.8919 0.6378 0.2542
4 Pt 0.5022 0.0022 0.5000

A relaxed La2Ta crystal, computed with PBEsol.

Calculated values
* V: 25.686 A^3/atom
* energy above the lowest structure with this stoichiometry: 9.23 kJ per mole of atoms
* final energy: -7.27 eV/atom
* space-group type: Immm, No. 71

Unit cell a=5.7585 b=5.7585 c=5.7585 alpha=148.15 beta=129.49 gamma=60.96
Fractional positions:
1 La 0.1574 0.1574 0.0000
2 La 0.8426 0.8426 0.0000
3 Ta 0.5000 0.5000 0.0000

A relaxed Cd2PbAu2 crystal, computed with PBEsol.

Calculated values
* V: 20.676 A^3/atom
* energy above the lowest structure with this stoichiometry: 0.00 kJ per mole of atoms
* final energy: -2.96 eV/atom
* space-group type: P4/mbm, No. 127

Unit cell a=8.1673 b=8.1673 c=3.0996 alpha=90.00 beta=90.00 gamma=90.00
Fractional positions:
1 Cd 0.1680 0.3320 0.0000
2 Cd 0.3320 0.8320 0.0000
3 Cd 0.6680 0.1680 0.0000
4 Cd 0.8320 0.6680 0.0000
5 Pb 0.0000 0.0000 0.5000
6 Pb 0.5000 0.5000 0.5000
7 Au 0.1277 0.6277 0.5000
8 Au 0.3723 0.1277 0.5000
9 Au 0.6277 0.8723 0.5000
10 Au 0.8723 0.3723 0.5000

A relaxed Pr2MgS4 crystal, computed with PBEsol.

Calculated values
* V: 21.197 A^3/atom
* final energy: -6.09 eV/atom
* space-group type: I-42d, No. 122

Unit cell a=7.2827 b=7.2827 c=7.2827 alpha=110.97 beta=110.97 gamma=106.52
Fractional positions:
1 Pr 0.0009 0.6250 0.8759
2 Pr 0.3750 0.2509 0.3759
3 Pr 0.7491 0.1250 0.1241
4 Pr 0.8750 0.9991 0.6241
5 Mg 0.2500 0.7500 0.5000
6 Mg 0.5000 0.5000 0.0000
7 S 0.1260 0.3914 0.1225
8 S 0.1414 0.3760 0.6225
9 S 0.2688 0.0035 0.8775
10 S 0.4812 0.8586 0.2346
11 S 0.6086 0.7312 0.7346
12 S 0.6240 0.2465 0.7654
13 S 0.7535 0.5188 0.3775
14 S 0.9965 0.8740 0.2654

A relaxed Rb3GaO3 crystal, computed with PBEsol.

Calculated values
* V: 19.758 A^3/atom
* final energy: -4.74 eV/atom
* space-group type: C2/m, No. 12

Unit cell a=6.7898 b=6.7898 c=6.7616 alpha=97.25 beta=97.25 gamma=114.18
Fractional positions:
1 Rb 0.1937 0.8063 0.0000
2 Rb 0.2600 0.7400 0.5000
3 Rb 0.3720 0.3720 0.1540
4 Rb 0.6280 0.6280 0.8460
5 Rb 0.7400 0.2600 0.5000
6 Rb 0.8063 0.1937 0.0000
7 Ga 0.1654 0.1654 0.6480
8 Ga 0.8346 0.8346 0.3520
9 O 0.0972 0.0972 0.3537
10 O 0.1536 0.4191 0.7665
11 O 0.4191 0.1536 0.7665
12 O 0.5809 0.8464 0.2335
13 O 0.8464 0.5809 0.2335
14 O 0.9028 0.9028 0.6463

A relaxed MgGeI2O crystal, computed with PBEsol.

Calculated values
* V: 25.154 A^3/atom
* final energy: -3.50 eV/atom
* space-group type: P4/mmm, No. 123

Unit cell a=5.7760 b=5.7760 c=3.7699 alpha=90.00 beta=90.00 gamma=90.00
Fractional positions:
1 Mg 0.0000 0.0000 0.0000
2 Ge 0.5000 0.5000 0.5000
3 I 0.0000 0.5000 0.5000
4 I 0.5000 0.0000 0.5000
5 O 0.5000 0.5000 0.0000

A relaxed SbTeSN2 crystal, computed with PBEsol.

Calculated values
* V: 16.339 A^3/atom
* final energy: -4.35 eV/atom
* space-group type: P4/mmm, No. 123

Unit cell a=4.0188 b=4.0188 c=5.0584 alpha=90.00 beta=90.00 gamma=90.00
Fractional positions:
1 Sb 0.0000 0.0000 0.0000
2 Te 0.5000 0.5000 0.0000
3 S 0.5000 0.5000 0.5000
4 N 0.0000 0.5000 0.5000
5 N 0.5000 0.0000 0.5000

A relaxed KZr2Ni crystal, computed with PBEsol.

Calculated values
* V: 23.532 A^3/atom
* energy above the lowest structure with this stoichiometry: 0.00 kJ per mole of atoms
* final energy: -6.08 eV/atom
* space-group type: P4/mmm, No. 123

Unit cell a=3.0101 b=3.0101 c=10.3887 alpha=90.00 beta=90.00 gamma=90.00
Fractional positions:
1 K 0.0000 0.0000 0.0000
2 Zr 0.5000 0.5000 0.3373
3 Zr 0.5000 0.5000 0.6627
4 Ni 0.0000 0.0000 0.5000

A relaxed BaLaZr2 crystal, computed with PBEsol.

Calculated values
* V: 31.270 A^3/atom
* energy above the lowest structure with this stoichiometry: 0.00 kJ per mole of atoms
* final energy: -6.04 eV/atom
* space-group type: Cm, No. 8

Unit cell a=5.3093 b=5.3093 c=7.5242 alpha=93.23 beta=93.23 gamma=36.21
Fractional positions:
1 Ba 0.0000 0.0000 0.0000
2 La 0.7615 0.7615 0.3199
3 Zr 0.2440 0.2440 0.6947
4 Zr 0.5060 0.5060 0.5690

A relaxed TaNi2P crystal, computed with PBEsol.

Calculated values
* V: 12.407 A^3/atom
* final energy: -8.05 eV/atom
* space-group type: Immm, No. 71

Unit cell a=4.8600 b=4.8600 c=4.8600 alpha=145.00 beta=130.36 gamma=62.17
Fractional positions:
1 Ta 0.0000 0.0000 0.0000
2 Ni 0.2804 0.7804 0.5000
3 Ni 0.7196 0.2196 0.5000
4 P 0.5000 0.5000 0.0000

A relaxed YMg3 crystal, computed with PBEsol.

Calculated values
* V: 24.956 A^3/atom
* final energy: -3.00 eV/atom
* space-group type: C2/m, No. 12

Unit cell a=5.6545 b=5.6545 c=5.7530 alpha=101.75 beta=101.75 gamma=33.74
Fractional positions:
1 Y 0.0000 0.0000 0.0000
2 Mg 0.2417 0.2417 0.7372
3 Mg 0.5000 0.5000 0.5000
4 Mg 0.7583 0.7583 0.2628

A relaxed FeCo2Ag crystal, computed with PBEsol.

Calculated values
* V: 12.214 A^3/atom
* energy above the lowest structure with this stoichiometry: 0.00 kJ per mole of atoms
* final energy: -6.62 eV/atom
* space-group type: C2/m, No. 12

Unit cell a=4.3925 b=4.3925 c=4.5373 alpha=101.35 beta=101.35 gamma=34.77
Fractional positions:
1 Fe 0.0000 0.0000 0.0000
2 Co 0.2598 0.2598 0.7785
3 Co 0.7402 0.7402 0.2215
4 Ag 0.5000 0.5000 0.5000

A relaxed K3Cu8Se6 crystal, computed with PBEsol.

Calculated values
* V: 19.456 A^3/atom
* final energy: -4.05 eV/atom
* space-group type: C2/m, No. 12

Unit cell a=9.0519 b=9.0519 c=9.9453 alpha=105.25 beta=105.25 gamma=24.93
Fractional positions:
1 K 0.0000 0.0000 0.0000
2 K 0.1917 0.1917 0.3014
3 K 0.8083 0.8083 0.6986
4 Cu 0.0147 0.0147 0.6356
5 Cu 0.1972 0.1972 0.9106
6 Cu 0.3962 0.3962 0.2171
7 Cu 0.4221 0.4221 0.4725
8 Cu 0.5779 0.5779 0.5275
9 Cu 0.6038 0.6038 0.7829
10 Cu 0.8028 0.8028 0.0894
11 Cu 0.9853 0.9853 0.3644
12 Se 0.1557 0.1557 0.6476
13 Se 0.3412 0.3412 0.9737
14 Se 0.4596 0.4596 0.7178
15 Se 0.5404 0.5404 0.2822
16 Se 0.6588 0.6588 0.0263
17 Se 0.8443 0.8443 0.3524

A relaxed BaSrP2O crystal, computed with PBEsol.

Calculated values
* V: 28.664 A^3/atom
* final energy: -4.19 eV/atom
* space-group type: P4/mmm, No. 123

Unit cell a=5.6448 b=5.6448 c=4.4979 alpha=90.00 beta=90.00 gamma=90.00
Fractional positions:
1 Ba 0.0000 0.0000 0.0000
2 Sr 0.5000 0.5000 0.5000
3 P 0.0000 0.5000 0.0000
4 P 0.5000 0.0000 0.0000
5 O 0.0000 0.0000 0.5000

A relaxed YAgW2O8 crystal, computed with PBEsol.

Calculated values
* V: 12.672 A^3/atom
* energy above the lowest structure with this stoichiometry: 4.07 kJ per mole of atoms
* final energy: -8.85 eV/atom
* space-group type: P-1, No. 2

Unit cell a=5.1695 b=5.6737 c=6.2454 alpha=64.12 beta=68.70 gamma=87.58
Fractional positions:
1 Y 0.0000 0.0000 0.0000
2 Ag 0.5000 0.5000 0.0000
3 W 0.2380 0.6780 0.5154
4 W 0.7620 0.3220 0.4846
5 O 0.1224 0.5318 0.2816
6 O 0.2163 0.9841 0.2635
7 O 0.2417 0.7801 0.7472
8 O 0.3645 0.3065 0.6813
9 O 0.6355 0.6935 0.3187
10 O 0.7583 0.2199 0.2528
11 O 0.7837 0.0159 0.7365
12 O 0.8776 0.4682 0.7184